(1)
Material: SrLi2Ag2
Method: DFT, PBE
State: optimized geometry

Calculated values
Calculated formation energy (eV/atom): -0.143
Offset from the most stable computed form (eV/f.u.): 0.386
Calculated volume (Å³/cell): 215.2

Lattice parameters (Å, degrees): 8.024 8.024 3.343 90.00 90.00 90.00
Positions (direct):
Sr: 0.000 0.000 0.000
Sr: 0.500 0.500 0.000
Li: 0.119 0.381 0.000
Li: 0.381 0.881 0.000
Li: 0.619 0.119 0.000
Li: 0.881 0.619 0.000
Ag: 0.169 0.669 0.500
Ag: 0.331 0.169 0.500
Ag: 0.669 0.831 0.500
Ag: 0.831 0.331 0.500



(2)
Material: Sr2LiAg16
Method: DFT, PBE
State: optimized geometry

Calculated values
Calculated formation energy (eV/atom): -0.127
Calculated volume (Å³/cell): 392.3

Lattice parameters (Å, degrees): 7.382 7.382 7.382 82.32 82.32 82.32
Positions (direct):
Sr: 0.000 0.000 0.000
Sr: 0.318 0.318 0.318
Li: 0.572 0.572 0.572
Ag: 0.009 0.009 0.510
Ag: 0.009 0.510 0.009
Ag: 0.165 0.662 0.662
Ag: 0.317 0.317 0.819
Ag: 0.317 0.819 0.317
Ag: 0.364 0.663 0.963
Ag: 0.364 0.963 0.663
Ag: 0.510 0.009 0.009
Ag: 0.662 0.165 0.662
Ag: 0.662 0.662 0.165
Ag: 0.663 0.364 0.963
Ag: 0.663 0.963 0.364
Ag: 0.757 0.757 0.757
Ag: 0.819 0.317 0.317
Ag: 0.963 0.364 0.663
Ag: 0.963 0.663 0.364



(3)
Material: Sr3Li5Ag2
Method: DFT, PBE
State: optimized geometry

Calculated values
Calculated formation energy (eV/atom): -0.118
Calculated volume (Å³/cell): 564.1

Lattice parameters (Å, degrees): 11.278 11.278 4.435 90.00 90.00 90.00
Positions (direct):
Sr: 0.000 0.000 0.000
Sr: 0.180 0.320 0.000
Sr: 0.320 0.820 0.000
Sr: 0.500 0.500 0.000
Sr: 0.680 0.180 0.000
Sr: 0.820 0.680 0.000
Li: 0.000 0.500 0.500
Li: 0.069 0.757 0.500
Li: 0.243 0.069 0.500
Li: 0.257 0.569 0.500
Li: 0.431 0.257 0.500
Li: 0.500 0.000 0.500
Li: 0.569 0.743 0.500
Li: 0.743 0.431 0.500
Li: 0.757 0.931 0.500
Li: 0.931 0.243 0.500
Ag: 0.108 0.608 0.000
Ag: 0.392 0.108 0.000
Ag: 0.608 0.892 0.000
Ag: 0.892 0.392 0.000



(4)
Material: Sr2Li9Ag6
Method: DFT, PBE
State: optimized geometry

Calculated values
Calculated formation energy (eV/atom): -0.089
Calculated volume (Å³/cell): 389.4

Lattice parameters (Å, degrees): 5.857 5.857 13.105 90.00 90.00 120.00
Positions (direct):
Sr: 0.000 0.000 0.170
Sr: 0.000 0.000 0.830
Li: 0.000 0.500 0.000
Li: 0.000 0.500 0.341
Li: 0.000 0.500 0.659
Li: 0.500 0.000 0.000
Li: 0.500 0.000 0.341
Li: 0.500 0.000 0.659
Li: 0.500 0.500 0.000
Li: 0.500 0.500 0.341
Li: 0.500 0.500 0.659
Ag: 0.333 0.667 0.172
Ag: 0.333 0.667 0.500
Ag: 0.333 0.667 0.828
Ag: 0.667 0.333 0.172
Ag: 0.667 0.333 0.500
Ag: 0.667 0.333 0.828



(5)
Material: SrLiAg2
Method: DFT, PBE
State: optimized geometry

Calculated values
Calculated formation energy (eV/atom): -0.122
Offset from the most stable computed form (eV/f.u.): 0.522
Calculated volume (Å³/cell): 188.6

Lattice parameters (Å, degrees): 4.216 4.862 9.198 90.00 90.00 90.00
Positions (direct):
Sr: 0.000 0.000 0.000
Sr: 0.500 0.500 0.500
Li: 0.000 0.500 0.229
Li: 0.500 0.000 0.729
Ag: 0.000 0.000 0.505
Ag: 0.000 0.500 0.766
Ag: 0.500 0.000 0.266
Ag: 0.500 0.500 0.005



(6)
Material: SrLi2Ag9
Method: DFT, PBE
State: optimized geometry

Calculated values
Calculated formation energy (eV/atom): -0.118
Offset from the most stable computed form (eV/f.u.): 0.472
Calculated volume (Å³/cell): 253.1

Lattice parameters (Å, degrees): 9.820 9.820 9.820 33.22 33.22 33.22
Positions (direct):
Sr: 0.000 0.000 0.000
Li: 0.151 0.151 0.151
Li: 0.849 0.849 0.849
Ag: 0.083 0.588 0.588
Ag: 0.333 0.333 0.333
Ag: 0.412 0.412 0.917
Ag: 0.412 0.917 0.412
Ag: 0.500 0.500 0.500
Ag: 0.588 0.083 0.588
Ag: 0.588 0.588 0.083
Ag: 0.667 0.667 0.667
Ag: 0.917 0.412 0.412



(7)
Material: Sr4Li5Ag2
Method: DFT, PBE
State: optimized geometry

Calculated values
Calculated formation energy (eV/atom): -0.072
Calculated volume (Å³/cell): 344.7

Lattice parameters (Å, degrees): 7.739 4.875 9.134 90.00 90.40 90.00
Positions (direct):
Sr: 0.229 0.000 0.361
Sr: 0.233 0.000 0.896
Sr: 0.767 0.000 0.104
Sr: 0.771 0.000 0.639
Li: 0.131 0.500 0.634
Li: 0.452 0.500 0.161
Li: 0.500 0.500 0.500
Li: 0.548 0.500 0.839
Li: 0.869 0.500 0.366
Ag: 0.095 0.500 0.134
Ag: 0.905 0.500 0.866



(8)
Material: Sr3Li3Ag8
Method: DFT, PBE
State: optimized geometry

Calculated values
Calculated formation energy (eV/atom): -0.228
Calculated volume (Å³/cell): 324.9

Lattice parameters (Å, degrees): 8.782 8.782 8.782 148.26 111.65 77.33
Positions (direct):
Sr: 0.000 0.000 0.000
Sr: 0.295 0.295 0.000
Sr: 0.705 0.705 0.000
Li: 0.287 0.500 0.787
Li: 0.500 0.000 0.500
Li: 0.713 0.500 0.213
Ag: 0.024 0.671 0.352
Ag: 0.171 0.884 0.287
Ag: 0.319 0.671 0.648
Ag: 0.403 0.116 0.287
Ag: 0.597 0.884 0.713
Ag: 0.681 0.329 0.352
Ag: 0.829 0.116 0.713
Ag: 0.976 0.329 0.648



(9)
Material: SrLi3Ag2
Method: DFT, PBE
State: optimized geometry

Calculated values
Calculated formation energy (eV/atom): -0.182
Offset from the most stable computed form (eV/f.u.): 0.105
Calculated volume (Å³/cell): 273.5

Lattice parameters (Å, degrees): 4.585 4.585 15.022 90.00 90.00 120.00
Positions (direct):
Sr: 0.000 0.000 0.250
Sr: 0.000 0.000 0.750
Li: 0.000 0.000 0.000
Li: 0.000 0.000 0.500
Li: 0.333 0.667 0.075
Li: 0.333 0.667 0.425
Li: 0.667 0.333 0.575
Li: 0.667 0.333 0.925
Ag: 0.333 0.667 0.606
Ag: 0.333 0.667 0.894
Ag: 0.667 0.333 0.106
Ag: 0.667 0.333 0.394



(10)
Material: SrLi3Ag2
Method: DFT, PBE
State: optimized geometry

Calculated values
Calculated formation energy (eV/atom): -0.199
Offset from the most stable computed form (eV/f.u.): 0.000
Calculated volume (Å³/cell): 405.4

Lattice parameters (Å, degrees): 10.294 10.294 4.417 90.00 90.00 120.00
Positions (direct):
Sr: 0.000 0.000 0.000
Sr: 0.333 0.667 0.500
Sr: 0.667 0.333 0.500
Li: 0.000 0.296 0.500
Li: 0.000 0.500 0.000
Li: 0.000 0.704 0.500
Li: 0.296 0.000 0.500
Li: 0.296 0.296 0.500
Li: 0.500 0.000 0.000
Li: 0.500 0.500 0.000
Li: 0.704 0.000 0.500
Li: 0.704 0.704 0.500
Ag: 0.185 0.370 0.000
Ag: 0.185 0.815 0.000
Ag: 0.370 0.185 0.000
Ag: 0.630 0.815 0.000
Ag: 0.815 0.185 0.000
Ag: 0.815 0.630 0.000



(11)
Material: SrLiAg2
Method: DFT, PBE
State: optimized geometry

Calculated values
Calculated formation energy (eV/atom): -0.198
Offset from the most stable computed form (eV/f.u.): 0.218
Calculated volume (Å³/cell): 93.7

Lattice parameters (Å, degrees): 3.628 3.628 7.117 90.00 90.00 90.00
Positions (direct):
Sr: 0.000 0.000 0.000
Li: 0.000 0.000 0.500
Ag: 0.500 0.500 0.302
Ag: 0.500 0.500 0.698



(12)
Material: Sr5LiAg2
Method: DFT, PBE
State: optimized geometry

Calculated values
Calculated formation energy (eV/atom): -0.175
Calculated volume (Å³/cell): 616.1

Lattice parameters (Å, degrees): 10.234 10.234 10.234 129.88 129.88 73.61
Positions (direct):
Sr: 0.000 0.000 0.000
Sr: 0.027 0.527 0.833
Sr: 0.194 0.027 0.500
Sr: 0.306 0.806 0.833
Sr: 0.473 0.306 0.500
Sr: 0.500 0.500 0.000
Sr: 0.527 0.694 0.500
Sr: 0.694 0.194 0.167
Sr: 0.806 0.973 0.500
Sr: 0.973 0.473 0.167
Li: 0.250 0.250 0.000
Li: 0.750 0.750 0.000
Ag: 0.123 0.377 0.500
Ag: 0.377 0.877 0.254
Ag: 0.623 0.123 0.746
Ag: 0.877 0.623 0.500



(13)
Material: SrLi5Ag2
Method: DFT, PBE
State: optimized geometry

Calculated values
Calculated formation energy (eV/atom): -0.136
Calculated volume (Å³/cell): 365.2

Lattice parameters (Å, degrees): 4.345 8.194 10.258 90.00 90.00 90.00
Positions (direct):
Sr: 0.000 0.000 0.000
Sr: 0.500 0.500 0.500
Li: 0.000 0.180 0.338
Li: 0.000 0.180 0.662
Li: 0.000 0.500 0.000
Li: 0.000 0.820 0.338
Li: 0.000 0.820 0.662
Li: 0.500 0.000 0.500
Li: 0.500 0.320 0.162
Li: 0.500 0.320 0.838
Li: 0.500 0.680 0.162
Li: 0.500 0.680 0.838
Ag: 0.000 0.500 0.256
Ag: 0.000 0.500 0.744
Ag: 0.500 0.000 0.244
Ag: 0.500 0.000 0.756



(14)
Material: Sr4Li3Ag
Method: DFT, PBE
State: optimized geometry

Calculated values
Calculated formation energy (eV/atom): -0.070
Calculated volume (Å³/cell): 290.5

Lattice parameters (Å, degrees): 4.717 4.830 12.752 90.00 90.00 90.00
Positions (direct):
Sr: 0.000 0.000 0.000
Sr: 0.000 0.500 0.274
Sr: 0.500 0.000 0.476
Sr: 0.500 0.500 0.783
Li: 0.000 0.000 0.697
Li: 0.000 0.500 0.566
Li: 0.500 0.500 0.080
Ag: 0.500 0.000 0.197



(15)
Material: SrLi2Ag2
Method: DFT, PBE
State: optimized geometry

Calculated values
Calculated formation energy (eV/atom): -0.220
Offset from the most stable computed form (eV/f.u.): 0.000
Calculated volume (Å³/cell): 118.5

Lattice parameters (Å, degrees): 4.360 4.360 6.231 90.00 90.00 90.00
Positions (direct):
Sr: 0.000 0.000 0.000
Li: 0.000 0.500 0.500
Li: 0.500 0.000 0.500
Ag: 0.500 0.500 0.233
Ag: 0.500 0.500 0.767



(16)
Material: Sr3Li2Ag4
Method: DFT, PBE
State: optimized geometry

Calculated values
Calculated formation energy (eV/atom): -0.245
Calculated volume (Å³/cell): 244.6

Lattice parameters (Å, degrees): 6.305 6.305 9.301 107.58 107.58 44.40
Positions (direct):
Sr: 0.000 0.000 0.000
Sr: 0.366 0.366 0.304
Sr: 0.634 0.634 0.696
Li: 0.322 0.322 0.654
Li: 0.678 0.678 0.346
Ag: 0.089 0.089 0.418
Ag: 0.278 0.278 0.932
Ag: 0.722 0.722 0.068
Ag: 0.911 0.911 0.582



(17)
Material: Sr8LiAg2
Method: DFT, PBE
State: optimized geometry

Calculated values
Calculated formation energy (eV/atom): -0.074
Calculated volume (Å³/cell): 481.9

Lattice parameters (Å, degrees): 9.100 9.100 6.500 98.30 98.30 112.08
Positions (direct):
Sr: 0.000 0.000 0.000
Sr: 0.051 0.311 0.607
Sr: 0.140 0.623 0.196
Sr: 0.311 0.051 0.607
Sr: 0.451 0.712 0.785
Sr: 0.623 0.140 0.196
Sr: 0.712 0.451 0.785
Sr: 0.762 0.762 0.391
Li: 0.381 0.381 0.200
Ag: 0.069 0.693 0.696
Ag: 0.693 0.069 0.696



(18)
Material: Sr2Li2Ag
Method: DFT, PBE
State: optimized geometry

Calculated values
Calculated formation energy (eV/atom): 0.161
Offset from the most stable computed form (eV/f.u.): 1.257
Calculated volume (Å³/cell): 373.7

Lattice parameters (Å, degrees): 8.665 8.665 4.978 90.00 90.00 90.00
Positions (direct):
Sr: 0.171 0.329 0.000
Sr: 0.329 0.829 0.000
Sr: 0.671 0.171 0.000
Sr: 0.829 0.671 0.000
Li: 0.125 0.625 0.500
Li: 0.375 0.125 0.500
Li: 0.625 0.875 0.500
Li: 0.875 0.375 0.500
Ag: 0.000 0.000 0.000
Ag: 0.500 0.500 0.000



(19)
Material: SrLiAg2
Method: DFT, PBE
State: optimized geometry

Calculated values
Calculated formation energy (eV/atom): -0.239
Offset from the most stable computed form (eV/f.u.): 0.056
Calculated volume (Å³/cell): 374.7

Lattice parameters (Å, degrees): 8.047 7.625 6.107 90.00 90.00 90.00
Positions (direct):
Sr: 0.029 0.250 0.130
Sr: 0.471 0.750 0.630
Sr: 0.529 0.250 0.370
Sr: 0.971 0.750 0.870
Li: 0.122 0.750 0.355
Li: 0.378 0.250 0.855
Li: 0.622 0.750 0.145
Li: 0.878 0.250 0.645
Ag: 0.170 0.059 0.587
Ag: 0.170 0.441 0.587
Ag: 0.330 0.559 0.087
Ag: 0.330 0.941 0.087
Ag: 0.670 0.059 0.913
Ag: 0.670 0.441 0.913
Ag: 0.830 0.559 0.413
Ag: 0.830 0.941 0.413



(20)
Material: Sr3LiAg
Method: DFT, PBE
State: optimized geometry

Calculated values
Calculated formation energy (eV/atom): -0.004
Offset from the most stable computed form (eV/f.u.): 0.411
Calculated volume (Å³/cell): 235.8

Lattice parameters (Å, degrees): 6.178 6.178 6.178 90.00 90.00 90.00
Positions (direct):
Sr: 0.000 0.000 0.500
Sr: 0.000 0.500 0.000
Sr: 0.500 0.000 0.000
Li: 0.500 0.500 0.500
Ag: 0.000 0.000 0.000



(21)
Material: Sr2LiAg
Method: DFT, PBE
State: optimized geometry

Calculated values
Calculated formation energy (eV/atom): -0.112
Offset from the most stable computed form (eV/f.u.): 0.213
Calculated volume (Å³/cell): 131.7

Lattice parameters (Å, degrees): 5.666 5.666 4.101 90.00 90.00 90.00
Positions (direct):
Sr: 0.000 0.500 0.000
Sr: 0.500 0.000 0.000
Li: 0.000 0.000 0.500
Ag: 0.500 0.500 0.500